Record 1
First-principles (PBE) data for a geometry-optimized Ni2SbRh structure, as listed in Alexandria via LeMat-Bulk.

Structure (POSCAR):
```
Ni2SbRh
1.0
3.8281 0.0000 0.0000
0.0000 3.8281 0.0000
0.0000 0.0000 3.8012
Ni Sb Rh
2 1 1
Cartesian
0.0000 1.9140 0.0000
1.9140 0.0000 0.0000
0.0000 0.0000 1.9006
1.9140 1.9140 1.9006
```

Calculated values
Raw formation energy ... -0.2018 eV/atom
D(E_F) ... 3.08 states/eV/f.u.

=====

Record 2
First-principles (PBE) data for a geometry-optimized NaZnBiS3 structure, as listed in Alexandria via LeMat-Bulk.

Structure (POSCAR):
```
NaZnBiS3
1.0
8.5263 0.0000 0.0000
0.0000 3.9696 0.0000
-1.3218 0.0000 8.9819
Na Zn Bi S
2 2 2 6
Cartesian
1.1466 0.9924 1.7988
6.0579 2.9772 7.1831
-0.0150 0.9924 5.3376
7.2195 2.9772 3.6444
1.8575 2.9772 7.6261
5.3470 0.9924 1.3558
-0.1098 0.9924 7.6906
0.9865 2.9772 4.4562
3.2379 2.9772 1.2676
3.9666 0.9924 7.7144
6.2180 0.9924 4.5258
7.3143 2.9772 1.2913
```

Calculated values
Raw formation energy ... -0.6952 eV/atom
D(E_F) ... 0.00 states/eV/f.u.

=====

Record 3
First-principles (PBE) data for a geometry-optimized NaIrRu structure, as listed in Alexandria via LeMat-Bulk.

Structure (POSCAR):
```
NaIrRu
1.0
4.4180 0.0000 0.0000
0.0000 2.4971 5.4354
0.0000 -2.4971 5.4354
Na Ir Ru
2 2 2
Cartesian
1.1045 -1.3130 5.4354
3.3135 1.3130 5.4354
1.1045 0.7197 3.0527
3.3135 -0.7197 3.0527
1.1045 0.7128 7.8615
3.3135 -0.7128 7.8615
```

Calculated values
D(E_F) ... 2.20 states/eV/f.u.
Excess energy over the best structure of this formula in the dataset ... 117 meV per atom
Energy of formation ... 0.451 eV/atom

=====

Record 4
First-principles (PBE) data for a geometry-optimized CaTbSb2 structure, as listed in Alexandria via LeMat-Bulk.

Structure (POSCAR):
```
CaTbSb2
1.0
2.1735 1.2549 7.6870
-2.1735 1.2549 7.6870
0.0000 -2.5097 7.6870
Ca Tb Sb
1 1 2
Cartesian
0.0000 0.0000 0.0000
0.0000 0.0000 11.5305
0.0000 0.0000 5.6862
0.0000 0.0000 17.3748
```

Calculated values
Raw formation energy ... -0.9323 eV/atom
D(E_F) ... 2.19 states/eV/f.u.
Excess energy over the best structure of this formula in the dataset ... 0 meV per atom

=====

Record 5
First-principles (PBE) data for a geometry-optimized Nb2Pt2Rh structure, as listed in Alexandria via LeMat-Bulk.

Structure (POSCAR):
```
Nb2Pt2Rh
1.0
7.1838 0.0000 0.0000
0.0000 7.1838 0.0000
0.0000 0.0000 3.3228
Nb Pt Rh
4 4 2
Cartesian
1.2377 2.3542 0.0000
2.3542 5.9461 0.0000
4.8296 1.2377 0.0000
5.9461 4.8296 0.0000
0.9520 4.5439 1.6614
2.6399 0.9520 1.6614
4.5439 6.2318 1.6614
6.2318 2.6399 1.6614
0.0000 0.0000 1.6614
3.5919 3.5919 1.6614
```

Calculated values
D(E_F) ... 3.99 states/eV/f.u.
Excess energy over the best structure of this formula in the dataset ... 90 meV per atom
Energy of formation ... -0.393 eV/atom

=====

Record 6
First-principles (PBE) data for a geometry-optimized Tl2AsOs structure, as listed in Alexandria via LeMat-Bulk.

Structure (POSCAR):
```
Tl2AsOs
1.0
-2.2517 2.2517 4.0862
2.2517 -2.2517 4.0862
2.2517 2.2517 -4.0862
Tl As Os
2 1 1
Cartesian
0.0000 0.0000 0.0000
0.0000 2.2517 2.0431
2.2517 0.0000 2.0431
0.0000 0.0000 4.0862
```

Calculated values
D(E_F) ... 4.62 states/eV/f.u.
Excess energy over the best structure of this formula in the dataset ... 696 meV per atom
Energy of formation ... 0.955 eV/atom

=====

Record 7
First-principles (PBE) data for a geometry-optimized InCu2BiS4 structure, as listed in Alexandria via LeMat-Bulk.

Structure (POSCAR):
```
InCu2BiS4
1.0
-2.8911 2.8911 5.5654
2.8911 -2.8911 5.5654
2.8911 2.8911 -5.5654
In Cu Bi S
1 2 1 4
Cartesian
0.0000 0.0000 0.0000
2.8911 0.0000 2.7827
0.0000 2.8911 2.7827
0.0000 0.0000 5.5654
1.5427 -1.5427 3.9253
1.3484 1.3484 1.6402
-1.5427 1.5427 3.9253
1.5427 1.5427 7.2056
```

Calculated values
Raw formation energy ... -0.3293 eV/atom

=====

Record 8
First-principles (PBE) data for a geometry-optimized Y3TlO structure, as listed in Alexandria via LeMat-Bulk.

Structure (POSCAR):
```
Y3TlO
1.0
6.5029 0.0000 0.0000
2.2172 6.2500 0.0000
0.6931 2.8348 6.4958
Y Tl O
6 2 2
Cartesian
2.3333 3.4696 1.6932
4.2973 8.5014 5.5634
4.0889 6.3436 2.6525
5.3243 2.7412 3.8433
5.1159 0.5834 0.9325
7.0798 5.6152 4.8027
3.6408 5.0785 5.3813
5.7723 4.0064 1.1145
2.6666 5.5753 1.1406
6.7466 3.5096 5.3552
```

Calculated values
Raw formation energy ... -1.3073 eV/atom
D(E_F) ... 2.23 states/eV/f.u.

=====

Record 9
First-principles (PBE) data for a geometry-optimized Tm4Ni3 structure, as listed in Alexandria via LeMat-Bulk.

Structure (POSCAR):
```
Tm4Ni3
1.0
6.7627 -2.1308 0.0000
6.7627 2.1308 0.0000
-1.3760 0.0000 5.2922
Tm Ni
4 3
Cartesian
0.8518 0.0000 1.4765
4.3251 0.0000 1.0240
7.8244 0.0000 4.2683
11.2976 0.0000 3.8157
2.7556 0.0000 3.4694
6.7627 0.0000 0.0000
9.3939 0.0000 1.8228
```

Calculated values
D(E_F) ... 4.21 states/eV/f.u.
Energy of formation ... -0.371 eV/atom

=====

Record 10
First-principles (PBE) data for a geometry-optimized Li6Zn2Ge structure, as listed in Alexandria via LeMat-Bulk.

Structure (POSCAR):
```
Li6Zn2Ge
1.0
6.6327 -3.8324 0.0000
6.6327 3.8324 0.0000
-0.0012 0.0000 2.6754
Li Zn Ge
6 2 1
Cartesian
4.4746 1.2453 2.6698
6.6327 2.4912 0.0000
4.4746 -1.2453 2.6698
8.7896 1.2453 0.0057
6.6327 -2.4912 0.0000
8.7896 -1.2453 0.0057
2.2082 0.0000 1.3376
11.0560 0.0000 1.3378
6.6321 0.0000 1.3377
```

Calculated values
D(E_F) ... 2.26 states/eV/f.u.
Excess energy over the best structure of this formula in the dataset ... 16 meV per atom
Energy of formation ... -0.193 eV/atom

=====

Record 11
First-principles (PBE) data for a geometry-optimized Sr2LiIr structure, as listed in Alexandria via LeMat-Bulk.

Structure (POSCAR):
```
Sr2LiIr
1.0
4.4849 0.0000 0.0000
0.0000 2.2096 5.6728
0.0000 -2.2096 5.6728
Sr Li Ir
2 1 1
Cartesian
0.0000 0.0000 0.0000
2.2424 0.0000 3.1396
0.0000 0.0000 7.7790
2.2424 0.0000 6.5522
```

Calculated values
D(E_F) ... 1.12 states/eV/f.u.
Energy of formation ... -0.100 eV/atom

=====

Record 12
First-principles (PBE) data for a geometry-optimized GeC4 structure, as listed in Alexandria via LeMat-Bulk.

Structure (POSCAR):
```
GeC4
1.0
3.9197 0.0000 0.0000
0.0000 3.9197 0.0000
0.0000 0.0000 3.9197
Ge C
1 4
Cartesian
0.0000 0.0000 0.0000
0.0000 0.0000 1.9599
0.0000 1.9599 0.0000
1.9599 0.0000 0.0000
1.9599 1.9599 1.9599
```

Calculated values
D(E_F) ... 2.87 states/eV/f.u.
Energy of formation ... 3.865 eV/atom

=====

Record 13
First-principles (PBE) data for a geometry-optimized LaSc2Sn structure, as listed in Alexandria via LeMat-Bulk.

Structure (POSCAR):
```
LaSc2Sn
1.0
4.7616 0.0000 0.0000
0.0000 4.7616 0.0000
0.0000 0.0000 4.5904
La Sc Sn
1 2 1
Cartesian
0.0000 0.0000 0.0000
0.0000 2.3808 2.2952
2.3808 0.0000 2.2952
2.3808 2.3808 0.0000
```

Calculated values
D(E_F) ... 6.70 states/eV/f.u.
Energy of formation ... -0.378 eV/atom

=====

Record 14
First-principles (PBE) data for a geometry-optimized CrIn2AgGe structure, as listed in Alexandria via LeMat-Bulk.

Structure (POSCAR):
```
CrIn2AgGe
1.0
5.1710 0.0000 0.0000
0.0000 5.1710 0.0000
0.0000 0.0000 5.1080
Cr In Ag Ge
1 2 1 1
Cartesian
0.0000 0.0000 0.0000
0.0000 2.5855 2.5540
2.5855 0.0000 2.5540
0.0000 0.0000 2.5540
2.5855 2.5855 0.0000
```

Calculated values
D(E_F) ... 3.30 states/eV/f.u.
Energy of formation ... 0.790 eV/atom

=====

Record 15
First-principles (PBE) data for a geometry-optimized TlTcW2 structure, as listed in Alexandria via LeMat-Bulk.

Structure (POSCAR):
```
TlTcW2
1.0
1.5812 -2.3731 0.0000
1.5812 2.3731 0.0000
0.0000 0.0000 9.3465
Tl Tc W
1 1 2
Cartesian
0.0000 0.0000 0.0000
0.0000 0.0000 4.6733
1.5812 0.0000 2.5528
1.5812 0.0000 6.7938
```

Calculated values
D(E_F) ... 3.70 states/eV/f.u.
Excess energy over the best structure of this formula in the dataset ... 110 meV per atom
Energy of formation ... 0.659 eV/atom

=====

Record 16
First-principles (PBE) data for a geometry-optimized UHgRu structure, as listed in Alexandria via LeMat-Bulk.

Structure (POSCAR):
```
UHgRu
1.0
-1.6001 1.6001 6.0024
1.6001 -1.6001 6.0024
1.6001 1.6001 -6.0024
U Hg Ru
1 1 1
Cartesian
0.0000 0.0000 0.0000
0.0000 0.0000 8.4867
0.0000 0.0000 4.4438
```

Calculated values
D(E_F) ... 3.89 states/eV/f.u.
Energy of formation ... 0.028 eV/atom

=====

Record 17
First-principles (PBE) data for a geometry-optimized GePCCl2 structure, as listed in Alexandria via LeMat-Bulk.

Structure (POSCAR):
```
GePCCl2
1.0
4.4787 0.0000 0.0000
0.0000 4.4787 0.0000
0.0000 0.0000 4.2077
Ge P C Cl
1 1 1 2
Cartesian
0.0000 0.0000 0.0000
2.2393 2.2393 0.0000
2.2393 2.2393 2.1039
0.0000 2.2393 2.1039
2.2393 0.0000 2.1039
```

Calculated values
Raw formation energy ... 1.0913 eV/atom
D(E_F) ... 3.01 states/eV/f.u.
Excess energy over the best structure of this formula in the dataset ... 0 meV per atom

=====

Record 18
First-principles (PBE) data for a geometry-optimized Tb2Ho2Mg structure, as listed in Alexandria via LeMat-Bulk.

Structure (POSCAR):
```
Tb2Ho2Mg
1.0
-2.5372 2.5372 12.6925
2.5372 -2.5372 12.6925
2.5372 2.5372 -12.6925
Tb Ho Mg
4 4 2
Cartesian
2.5372 1.2686 -5.0744
0.0000 1.2686 1.2719
2.5372 1.2686 11.4206
0.0000 1.2686 17.7668
2.5372 1.2686 -1.1399
0.0000 1.2686 5.2063
2.5372 1.2686 7.4862
0.0000 1.2686 13.8324
2.5372 1.2686 3.1731
0.0000 1.2686 9.5193
```

Calculated values
D(E_F) ... 8.55 states/eV/f.u.
Excess energy over the best structure of this formula in the dataset ... 222 meV per atom
Energy of formation ... 0.206 eV/atom

=====

Record 19
First-principles (PBE) data for a geometry-optimized TaRh2Pb2 structure, as listed in Alexandria via LeMat-Bulk.

Structure (POSCAR):
```
TaRh2Pb2
1.0
-2.0275 2.0275 6.4323
2.0275 -2.0275 6.4323
2.0275 2.0275 -6.4323
Ta Rh Pb
1 2 2
Cartesian
0.0000 0.0000 0.0000
0.0000 0.0000 5.2007
0.0000 0.0000 7.6639
2.0275 0.0000 3.2162
0.0000 2.0275 3.2162
```

Calculated values
D(E_F) ... 4.94 states/eV/f.u.
Energy of formation ... 0.703 eV/atom

=====

Record 20
First-principles (PBE) data for a geometry-optimized La2YMo structure, as listed in Alexandria via LeMat-Bulk.

Structure (POSCAR):
```
La2YMo
1.0
3.5382 0.0000 0.0000
0.0000 4.8137 0.0000
-1.5921 0.0000 6.5660
La Y Mo
2 1 1
Cartesian
0.0000 0.0000 0.0000
0.0628 2.4068 4.5865
1.9675 0.0000 2.8086
0.5373 2.4068 1.5115
```

Calculated values
D(E_F) ... 4.20 states/eV/f.u.
Excess energy over the best structure of this formula in the dataset ... 81 meV per atom
Energy of formation ... 0.376 eV/atom